Record 1
A relaxed Ho2Tl5Hg crystal. Source: Alexandria, functional GGA-PBE.

Cell lengths 6.6482, 13.3125, 4.7721 Å; angles 90.00, 90.00, 90.00 degrees
Element x y z (fractional)
Ho1 0.2481 0.1258 0.0000
Ho2 0.2519 0.6258 0.0000
Ho3 0.7481 0.3742 0.0000
Ho4 0.7519 0.8742 0.0000
Tl1 0.0000 0.0000 0.5000
Tl2 0.0059 0.7478 0.5000
Tl3 0.2440 0.3778 0.0000
Tl4 0.2560 0.8778 0.0000
Tl5 0.4941 0.2478 0.5000
Tl6 0.5000 0.5000 0.5000
Tl7 0.5059 0.7522 0.5000
Tl8 0.7440 0.1222 0.0000
Tl9 0.7560 0.6222 0.0000
Tl10 0.9941 0.2522 0.5000
Hg1 0.0000 0.5000 0.5000
Hg2 0.5000 0.0000 0.5000

Results
Theoretical density, g/cm³: 12.21
Volume, Å³/atom: 26.40
Total magnetic moment, μB/f.u.: 0.00
Energy relative to the elements, eV/atom: -0.223

Record 2
A relaxed AcPmPr2Tm crystal. Source: Alexandria, functional GGA-PBE.

Cell lengths 7.4176, 7.4176, 7.4683 Å; angles 90.00, 90.00, 111.42 degrees
Element x y z (fractional)
Ac1 0.2422 0.7578 0.7500
Ac2 0.7578 0.2422 0.2500
Pm1 0.0590 0.9410 0.2500
Pm2 0.9410 0.0590 0.7500
Pr1 0.3022 0.3022 0.0000
Pr2 0.3022 0.3022 0.5000
Pr3 0.6978 0.6978 0.0000
Pr4 0.6978 0.6978 0.5000
Tm1 0.3081 0.6919 0.2500
Tm2 0.6919 0.3081 0.7500

Results
Theoretical density, g/cm³: 7.14
Volume, Å³/atom: 38.25
Total magnetic moment, μB/f.u.: 0.00
Energy relative to the elements, eV/atom: 0.343

Record 3
A relaxed Na8TeSe2 crystal. Source: Alexandria, functional GGA-PBE.

Cell lengths 8.6915, 8.6915, 8.4479 Å; angles 98.45, 98.45, 33.04 degrees
Element x y z (fractional)
Na1 0.0647 0.0647 0.2114
Na2 0.1974 0.1974 0.5711
Na3 0.3104 0.3104 0.9392
Na4 0.4304 0.4304 0.3275
Na5 0.5696 0.5696 0.6725
Na6 0.6896 0.6896 0.0608
Na7 0.8026 0.8026 0.4289
Na8 0.9353 0.9353 0.7886
Te1 0.5000 0.5000 0.0000
Se1 0.2481 0.2481 0.2506
Se2 0.7519 0.7519 0.7494

Results
Theoretical density, g/cm³: 2.27
E_form (uncorrected), eV per atom: -0.766
Volume, Å³/atom: 31.25
Total magnetic moment, μB/f.u.: 0.00

The D(E_F) results, record by record, are as follows: 0.562 1.388 0.092 states/eV per atom.